No. 1
# FePIrCl2

A geometry-optimized FePIrCl2 structure (GGA-PBE, Alexandria via LeMat-Bulk).

Summary:
uncorrected energy = -21.2 eV per cell
DOS at the Fermi energy = 9.5 states/eV/cell
ΔE_f (raw) = 100.19 kJ/mol of atoms
M_tot = 0.0 μB/f.u.
calculated volume = 86 Å³/f.u.
ρ = 6.723 Mg/m³

Geometry as POSCAR:
```
FePIrCl2
1.0
4.270 0.000 0.000
0.000 4.270 0.000
0.000 0.000 4.741
Fe P Ir Cl
1 1 1 2
Direct
0.000 0.000 0.000
0.000 0.000 0.500
0.500 0.500 0.500
0.000 0.500 0.000
0.500 0.000 0.000
```

No. 2
# FePIr2Cl

A geometry-optimized FePIr2Cl structure (GGA-PBE, Alexandria via LeMat-Bulk).

Summary:
uncorrected energy = -26.8 eV per cell
DOS at the Fermi energy = 8.9 states/eV/cell
ΔE_f (raw) = 128.05 kJ/mol of atoms
M_tot = 1.1 μB/f.u.
calculated volume = 89 Å³/f.u.
ρ = 9.501 Mg/m³

Geometry as POSCAR:
```
FePIr2Cl
1.0
4.635 0.000 0.000
0.000 4.635 0.000
0.000 0.000 4.123
Fe P Ir Cl
1 1 2 1
Direct
0.000 0.000 0.000
0.000 0.000 0.500
0.000 0.500 0.000
0.500 0.000 0.000
0.500 0.500 0.500
```

No. 3
# Rb2FeIrCl6

A geometry-optimized Rb2FeIrCl6 structure (GGA-PBE, Alexandria via LeMat-Bulk).

Summary:
uncorrected energy = -39.6 eV per cell
DOS at the Fermi energy = 4.2 states/eV/cell
ΔE_f (raw) = -89.40 kJ/mol of atoms
M_tot = 3.0 μB/f.u.
calculated volume = 241 Å³/f.u.
ρ = 4.361 Mg/m³

Geometry as POSCAR:
```
Rb2FeIrCl6
1.0
-3.636 3.636 4.547
3.636 -3.636 4.547
3.636 3.636 -4.547
Rb Fe Ir Cl
2 1 1 6
Direct
0.250 0.750 0.500
0.750 0.250 0.500
0.000 0.000 0.000
0.500 0.500 0.000
0.243 0.243 0.000
0.259 0.259 0.518
0.259 0.741 0.000
0.741 0.259 0.000
0.741 0.741 0.482
0.757 0.757 0.000
```

No. 4
# Fe2IrRuCl

A geometry-optimized Fe2IrRuCl structure (GGA-PBE, Alexandria via LeMat-Bulk).

Summary:
uncorrected energy = -31.8 eV per cell
DOS at the Fermi energy = 5.9 states/eV/cell
ΔE_f (raw) = 98.82 kJ/mol of atoms
M_tot = 6.5 μB/f.u.
calculated volume = 74 Å³/f.u.
ρ = 9.908 Mg/m³

Geometry as POSCAR:
```
Fe2IrRuCl
1.0
4.124 0.000 0.000
0.000 4.124 0.000
0.000 0.000 4.341
Fe Ir Ru Cl
2 1 1 1
Direct
0.000 0.500 0.000
0.500 0.000 0.000
0.000 0.000 0.500
0.500 0.500 0.500
0.500 0.500 0.000
```

No. 5
# FeIrS2Cl

A geometry-optimized FeIrS2Cl structure (GGA-PBE, Alexandria via LeMat-Bulk).

Summary:
uncorrected energy = -23.9 eV per cell
DOS at the Fermi energy = 6.1 states/eV/cell
ΔE_f (raw) = 68.87 kJ/mol of atoms
M_tot = 4.1 μB/f.u.
calculated volume = 103 Å³/f.u.
ρ = 5.591 Mg/m³

Geometry as POSCAR:
```
FeIrS2Cl
1.0
4.653 0.000 0.000
0.000 4.653 0.000
0.000 0.000 4.770
Fe Ir S Cl
1 1 2 1
Direct
0.000 0.000 0.000
0.500 0.500 0.500
0.000 0.500 0.500
0.500 0.000 0.500
0.500 0.500 0.000
```

No. 6
# FeIrSeCl2

A geometry-optimized FeIrSeCl2 structure (GGA-PBE, Alexandria via LeMat-Bulk).

Summary:
uncorrected energy = -20.2 eV per cell
DOS at the Fermi energy = 16.6 states/eV/cell
ΔE_f (raw) = 83.82 kJ/mol of atoms
M_tot = 0.0 μB/f.u.
calculated volume = 94 Å³/f.u.
ρ = 6.993 Mg/m³

Geometry as POSCAR:
```
FeIrSeCl2
1.0
4.228 0.000 0.000
0.000 4.228 0.000
0.000 0.000 5.285
Fe Ir Se Cl
1 1 1 2
Direct
0.000 0.000 0.000
0.500 0.500 0.500
0.000 0.000 0.500
0.000 0.500 0.000
0.500 0.000 0.000
```

No. 7
# Fe2IrWCl

A geometry-optimized Fe2IrWCl structure (GGA-PBE, Alexandria via LeMat-Bulk).

Summary:
uncorrected energy = -33.6 eV per cell
DOS at the Fermi energy = 6.3 states/eV/cell
ΔE_f (raw) = 134.05 kJ/mol of atoms
M_tot = 5.2 μB/f.u.
calculated volume = 110 Å³/f.u.
ρ = 7.864 Mg/m³

Geometry as POSCAR:
```
Fe2IrWCl
1.0
4.809 0.000 0.000
0.000 4.809 0.000
0.000 0.000 4.778
Fe Ir W Cl
2 1 1 1
Direct
0.000 0.500 0.000
0.500 0.000 0.000
0.000 0.000 0.000
0.000 0.000 0.500
0.500 0.500 0.500
```

No. 8
# YFeIr2Cl

A geometry-optimized YFeIr2Cl structure (GGA-PBE, Alexandria via LeMat-Bulk).

Summary:
uncorrected energy = -33.1 eV per cell
DOS at the Fermi energy = 3.7 states/eV/cell
ΔE_f (raw) = 27.79 kJ/mol of atoms
M_tot = 0.0 μB/f.u.
calculated volume = 96 Å³/f.u.
ρ = 9.809 Mg/m³

Geometry as POSCAR:
```
YFeIr2Cl
1.0
4.531 0.000 0.000
0.000 4.531 0.000
0.000 0.000 4.655
Y Fe Ir Cl
1 1 2 1
Direct
0.000 0.000 0.000
0.500 0.500 0.500
0.000 0.500 0.500
0.500 0.000 0.500
0.500 0.500 0.000
```

No. 9
# ZnFeIrCl2

A geometry-optimized ZnFeIrCl2 structure (GGA-PBE, Alexandria via LeMat-Bulk).

Summary:
uncorrected energy = -16.3 eV per cell
DOS at the Fermi energy = 15.5 states/eV/cell
ΔE_f (raw) = 115.51 kJ/mol of atoms
M_tot = 4.1 μB/f.u.
calculated volume = 117 Å³/f.u.
ρ = 5.474 Mg/m³

Geometry as POSCAR:
```
ZnFeIrCl2
1.0
4.394 0.000 0.000
0.000 4.394 0.000
0.000 0.000 6.037
Zn Fe Ir Cl
1 1 1 2
Direct
0.000 0.000 0.000
0.000 0.000 0.500
0.500 0.500 0.500
0.000 0.500 0.000
0.500 0.000 0.000
```

No. 10
# KFe2Cl

A geometry-optimized KFe2Cl structure (GGA-PBE, Alexandria via LeMat-Bulk).

Summary:
uncorrected energy = -16.9 eV per cell
DOS at the Fermi energy = 5.0 states/eV/cell
ΔE_f (raw) = 70.49 kJ/mol of atoms
M_tot = 6.5 μB/f.u.
calculated volume = 94 Å³/f.u.
ρ = 3.277 Mg/m³

Geometry as POSCAR:
```
KFe2Cl
1.0
2.656 -6.046 0.000
2.656 6.046 0.000
0.000 0.000 2.939
K Fe Cl
1 2 1
Direct
0.000 0.000 0.000
0.000 0.500 0.500
0.500 0.000 0.500
0.500 0.500 0.000
```

No. 11
# KFeCl2

A geometry-optimized KFeCl2 structure (GGA-PBE, Alexandria via LeMat-Bulk).

Summary:
uncorrected energy = -15.5 eV per cell
DOS at the Fermi energy = 1.4 states/eV/cell
ΔE_f (raw) = -54.19 kJ/mol of atoms
M_tot = 3.1 μB/f.u.
calculated volume = 85 Å³/f.u.
ρ = 3.236 Mg/m³

Geometry as POSCAR:
```
KFeCl2
1.0
3.427 0.000 0.000
0.000 3.427 0.000
0.000 0.000 7.246
K Fe Cl
1 1 2
Direct
0.000 0.000 0.000
0.000 0.000 0.500
0.500 0.500 0.281
0.500 0.500 0.719
```

No. 12
# KFe2Cl

A geometry-optimized KFe2Cl structure (GGA-PBE, Alexandria via LeMat-Bulk).

Summary:
uncorrected energy = -19.5 eV per cell
DOS at the Fermi energy = 2.1 states/eV/cell
ΔE_f (raw) = 9.52 kJ/mol of atoms
M_tot = 5.9 μB/f.u.
calculated volume = 83 Å³/f.u.
ρ = 3.707 Mg/m³

Geometry as POSCAR:
```
KFe2Cl
1.0
3.371 0.000 0.000
0.000 3.371 0.000
0.000 0.000 7.339
K Fe Cl
1 2 1
Direct
0.000 0.000 0.000
0.000 0.000 0.535
0.500 0.500 0.623
0.500 0.500 0.261
```

No. 13
# KFe2Cl

A geometry-optimized KFe2Cl structure (GGA-PBE, Alexandria via LeMat-Bulk).

Summary:
uncorrected energy = -14.8 eV per cell
DOS at the Fermi energy = 5.5 states/eV/cell
ΔE_f (raw) = 123.49 kJ/mol of atoms
M_tot = 6.8 μB/f.u.
calculated volume = 94 Å³/f.u.
ρ = 3.279 Mg/m³

Geometry as POSCAR:
```
KFe2Cl
1.0
0.000 3.613 3.613
3.613 0.000 3.613
3.613 3.613 0.000
K Fe Cl
1 2 1
Direct
0.000 0.000 0.000
0.250 0.250 0.250
0.750 0.750 0.750
0.500 0.500 0.500
```

No. 14
# KFeCl2

A geometry-optimized KFeCl2 structure (GGA-PBE, Alexandria via LeMat-Bulk).

Summary:
uncorrected energy = -13.1 eV per cell
DOS at the Fermi energy = 8.0 states/eV/cell
ΔE_f (raw) = 3.29 kJ/mol of atoms
M_tot = 3.5 μB/f.u.
calculated volume = 98 Å³/f.u.
ρ = 2.820 Mg/m³

Geometry as POSCAR:
```
KFeCl2
1.0
0.000 3.655 3.655
3.655 0.000 3.655
3.655 3.655 0.000
K Fe Cl
1 1 2
Direct
0.000 0.000 0.000
0.750 0.750 0.750
0.250 0.250 0.250
0.500 0.500 0.500
```

No. 15
# K3Fe2Cl7

A geometry-optimized K3Fe2Cl7 structure (GGA-PBE, Alexandria via LeMat-Bulk).

Summary:
uncorrected energy = -48.8 eV per cell
DOS at the Fermi energy = 8.7 states/eV/cell
ΔE_f (raw) = -126.07 kJ/mol of atoms
M_tot = 8.0 μB/f.u.
calculated volume = 311 Å³/f.u.
ρ = 2.547 Mg/m³

Geometry as POSCAR:
```
K3Fe2Cl7
1.0
-2.471 2.471 12.732
2.471 -2.471 12.732
2.471 2.471 -12.732
K Fe Cl
3 2 7
Direct
0.000 0.000 0.000
0.181 0.181 0.000
0.819 0.819 0.000
0.402 0.402 0.000
0.598 0.598 0.000
0.096 0.596 0.500
0.305 0.305 0.000
0.404 0.904 0.500
0.500 0.500 0.000
0.596 0.096 0.500
0.695 0.695 0.000
0.904 0.404 0.500
```

No. 16
# K2FeCl4

A geometry-optimized K2FeCl4 structure (GGA-PBE, Alexandria via LeMat-Bulk).

Summary:
uncorrected energy = -56.2 eV per cell
DOS at the Fermi energy = 13.4 states/eV/cell
ΔE_f (raw) = -138.59 kJ/mol of atoms
M_tot = 4.0 μB/f.u.
calculated volume = 215 Å³/f.u.
ρ = 2.129 Mg/m³

Geometry as POSCAR:
```
K2FeCl4
1.0
7.160 0.000 0.000
0.000 7.227 0.000
-2.755 0.000 8.315
K Fe Cl
4 2 8
Direct
0.208 0.250 0.049
0.271 0.250 0.569
0.729 0.750 0.431
0.792 0.750 0.951
0.235 0.750 0.800
0.765 0.250 0.200
0.018 0.505 0.742
0.018 0.995 0.742
0.409 0.750 0.069
0.429 0.750 0.636
0.571 0.250 0.364
0.591 0.250 0.931
0.982 0.005 0.258
0.982 0.495 0.258
```

No. 17
# KFe2Cl

A geometry-optimized KFe2Cl structure (GGA-PBE, Alexandria via LeMat-Bulk).

Summary:
uncorrected energy = -16.6 eV per cell
DOS at the Fermi energy = 4.2 states/eV/cell
ΔE_f (raw) = 79.38 kJ/mol of atoms
M_tot = 6.0 μB/f.u.
calculated volume = 83 Å³/f.u.
ρ = 3.744 Mg/m³

Geometry as POSCAR:
```
KFe2Cl
1.0
0.000 3.457 3.457
3.457 0.000 3.457
3.457 3.457 0.000
K Fe Cl
1 2 1
Direct
0.000 0.000 0.000
0.500 0.500 0.500
0.750 0.750 0.750
0.250 0.250 0.250
```

No. 18
# KFeCl3

A geometry-optimized KFeCl3 structure (GGA-PBE, Alexandria via LeMat-Bulk).

Summary:
uncorrected energy = -84.4 eV per cell
DOS at the Fermi energy = 15.9 states/eV/cell
ΔE_f (raw) = -115.66 kJ/mol of atoms
M_tot = 4.0 μB/f.u.
calculated volume = 122 Å³/f.u.
ρ = 2.739 Mg/m³

Geometry as POSCAR:
```
KFeCl3
1.0
8.849 0.000 0.000
0.000 3.849 0.000
0.000 0.000 14.331
K Fe Cl
4 4 12
Direct
0.058 0.250 0.172
0.442 0.750 0.672
0.558 0.250 0.328
0.942 0.750 0.828
0.158 0.750 0.448
0.342 0.250 0.948
0.658 0.750 0.052
0.842 0.250 0.552
0.021 0.750 0.598
0.183 0.750 0.006
0.231 0.250 0.798
0.269 0.750 0.298
0.317 0.250 0.506
0.479 0.250 0.098
0.521 0.750 0.902
0.683 0.750 0.494
0.731 0.250 0.702
0.769 0.750 0.202
0.817 0.250 0.994
0.979 0.250 0.402
```

No. 19
# KFe3Cl12

A geometry-optimized KFe3Cl12 structure (GGA-PBE, Alexandria via LeMat-Bulk).

Summary:
uncorrected energy = -123.1 eV per cell
DOS at the Fermi energy = 8.9 states/eV/cell
ΔE_f (raw) = -77.90 kJ/mol of atoms
M_tot = 13.0 μB/f.u.
calculated volume = 626 Å³/f.u.
ρ = 1.678 Mg/m³

Geometry as POSCAR:
```
KFe3Cl12
1.0
5.581 3.222 11.599
-5.581 3.222 11.599
0.000 -6.444 11.599
K Fe Cl
2 6 24
Direct
0.000 0.000 0.000
0.500 0.500 0.500
0.121 0.785 0.411
0.285 0.621 0.911
0.411 0.121 0.785
0.621 0.911 0.285
0.785 0.411 0.121
0.911 0.285 0.621
0.069 0.662 0.075
0.075 0.069 0.662
0.150 0.766 0.243
0.162 0.569 0.575
0.243 0.150 0.766
0.266 0.650 0.743
0.266 0.844 0.370
0.344 0.766 0.870
0.370 0.266 0.844
0.418 0.952 0.457
0.452 0.918 0.957
0.457 0.418 0.952
0.569 0.575 0.162
0.575 0.162 0.569
0.650 0.743 0.266
0.662 0.075 0.069
0.743 0.266 0.650
0.766 0.243 0.150
0.766 0.870 0.344
0.844 0.370 0.266
0.870 0.344 0.766
0.918 0.957 0.452
0.952 0.457 0.418
0.957 0.452 0.918
```

No. 20
# KFeCl

A geometry-optimized KFeCl structure (GGA-PBE, Alexandria via LeMat-Bulk).

Summary:
uncorrected energy = -10.0 eV per cell
DOS at the Fermi energy = 6.4 states/eV/cell
ΔE_f (raw) = 44.98 kJ/mol of atoms
M_tot = 4.0 μB/f.u.
calculated volume = 98 Å³/f.u.
ρ = 2.214 Mg/m³

Geometry as POSCAR:
```
KFeCl
1.0
0.000 3.657 3.657
3.657 0.000 3.657
3.657 3.657 0.000
K Fe Cl
1 1 1
Direct
0.000 0.000 0.000
0.250 0.250 0.250
0.500 0.500 0.500
```

No. 21
# KFe2Cl

A geometry-optimized KFe2Cl structure (GGA-PBE, Alexandria via LeMat-Bulk).

Summary:
uncorrected energy = -18.2 eV per cell
DOS at the Fermi energy = 5.0 states/eV/cell
ΔE_f (raw) = 40.02 kJ/mol of atoms
M_tot = 6.4 μB/f.u.
calculated volume = 103 Å³/f.u.
ρ = 3.006 Mg/m³

Geometry as POSCAR:
```
KFe2Cl
1.0
-1.918 1.918 6.992
1.918 -1.918 6.992
1.918 1.918 -6.992
K Fe Cl
1 2 1
Direct
0.000 0.000 0.000
0.250 0.750 0.500
0.750 0.250 0.500
0.500 0.500 0.000
```

No. 22
# KFeCl

A geometry-optimized KFeCl structure (GGA-PBE, Alexandria via LeMat-Bulk).

Summary:
uncorrected energy = -10.5 eV per cell
DOS at the Fermi energy = 7.9 states/eV/cell
ΔE_f (raw) = 30.41 kJ/mol of atoms
M_tot = 4.0 μB/f.u.
calculated volume = 100 Å³/f.u.
ρ = 2.161 Mg/m³

Geometry as POSCAR:
```
KFeCl
1.0
0.000 3.686 3.686
3.686 0.000 3.686
3.686 3.686 0.000
K Fe Cl
1 1 1
Direct
0.000 0.000 0.000
0.500 0.500 0.500
0.250 0.250 0.250
```

No. 23
# KFeCl2

A geometry-optimized KFeCl2 structure (GGA-PBE, Alexandria via LeMat-Bulk).

Summary:
uncorrected energy = -16.2 eV per cell
DOS at the Fermi energy = 5.1 states/eV/cell
ΔE_f (raw) = -70.06 kJ/mol of atoms
M_tot = 3.0 μB/f.u.
calculated volume = 90 Å³/f.u.
ρ = 3.071 Mg/m³

Geometry as POSCAR:
```
KFeCl2
1.0
1.976 1.141 6.627
-1.976 1.141 6.627
0.000 -2.282 6.627
K Fe Cl
1 1 2
Direct
0.000 0.000 0.000
0.500 0.500 0.500
0.230 0.230 0.230
0.770 0.770 0.770
```

No. 24
# KFeCl

A geometry-optimized KFeCl structure (GGA-PBE, Alexandria via LeMat-Bulk).

Summary:
uncorrected energy = -11.1 eV per cell
DOS at the Fermi energy = 3.3 states/eV/cell
ΔE_f (raw) = 9.99 kJ/mol of atoms
M_tot = 3.2 μB/f.u.
calculated volume = 71 Å³/f.u.
ρ = 3.035 Mg/m³

Geometry as POSCAR:
```
KFeCl
1.0
-1.657 1.657 6.498
1.657 -1.657 6.498
1.657 1.657 -6.498
K Fe Cl
1 1 1
Direct
0.000 0.000 0.000
0.284 0.284 0.000
0.666 0.666 0.000
```

No. 25
# KFeCl2

A geometry-optimized KFeCl2 structure (GGA-PBE, Alexandria via LeMat-Bulk).

Summary:
uncorrected energy = -16.3 eV per cell
DOS at the Fermi energy = 1.9 states/eV/cell
ΔE_f (raw) = -73.87 kJ/mol of atoms
M_tot = 3.0 μB/f.u.
calculated volume = 103 Å³/f.u.
ρ = 2.680 Mg/m³

Geometry as POSCAR:
```
KFeCl2
1.0
-1.876 3.350 4.089
1.876 -3.350 4.089
1.876 3.350 -4.089
K Fe Cl
1 1 2
Direct
0.000 0.000 0.000
0.500 0.500 0.000
0.311 0.811 0.500
0.689 0.189 0.500
```

No. 26
# KFeCl2

A geometry-optimized KFeCl2 structure (GGA-PBE, Alexandria via LeMat-Bulk).

Summary:
uncorrected energy = -15.1 eV per cell
DOS at the Fermi energy = 2.8 states/eV/cell
ΔE_f (raw) = -43.73 kJ/mol of atoms
M_tot = 3.4 μB/f.u.
calculated volume = 118 Å³/f.u.
ρ = 2.340 Mg/m³

Geometry as POSCAR:
```
KFeCl2
1.0
-1.989 1.989 7.437
1.989 -1.989 7.437
1.989 1.989 -7.437
K Fe Cl
1 1 2
Direct
0.000 0.000 0.000
0.750 0.250 0.500
0.250 0.750 0.500
0.500 0.500 0.000
```